Tm3Mg4Cd | Alexandria via LeMat-Bulk | PBE-GGA | optimized geometry; E_tot = -2.654 eV per atom; energy of formation from the pure elements = -0.07 eV/atom; space-group type = P4/mmm
1.0
-3.679 1.784 2.986
-5.365 -2.245 -5.268
-0.686 -9.023 4.545
Mg Tm Cd
8 6 2
Cartesian
-5.787 -0.760 -2.383
-6.130 -5.271 -0.111
-3.257 0.299 0.102
-3.600 -4.212 2.374
-8.140 -6.636 2.518
-4.120 -3.907 -2.739
-1.590 -2.848 -0.255
-5.610 -5.577 5.002
0.000 0.000 0.000
-0.343 -4.511 2.272
-2.353 -5.875 4.901
-2.012 -1.363 2.630
-5.035 -6.998 2.267
-4.694 -2.486 -0.004
-2.682 -1.123 -2.634
-3.025 -5.634 -0.361

Ti3CoRe | Alexandria via LeMat-Bulk | PBE-GGA | optimized geometry; excess energy over the best structure of this formula in the dataset = 0.0 meV/atom; E_tot = -8.123 eV per atom; energy of formation from the pure elements = 0.52 eV/atom; space-group type = Pm-3m
1.0
4.380 0.000 0.000
0.000 4.380 0.000
0.000 0.000 4.380
Re Co Ti
1 1 3
Cartesian
2.190 2.190 2.190
0.000 0.000 0.000
0.000 2.190 0.000
0.000 0.000 2.190
2.190 0.000 0.000

La12Tl4SnN3 | Alexandria via LeMat-Bulk | PBE-GGA | optimized geometry; E_form (uncorrected) = -0.602 eV per atom; E_tot = -5.480 eV per atom; space-group type = Im-3m
1.0
-8.895 -0.049 2.609
5.353 -2.243 7.228
2.285 8.457 -3.031
La Tl Sn N
12 4 1 3
Cartesian
2.166 5.209 1.994
-4.769 6.067 -0.304
-1.841 2.342 -0.117
-3.424 0.956 4.814
-2.556 -1.653 7.098
-0.986 -0.638 2.740
-4.191 3.631 2.249
2.933 2.534 4.558
-1.396 5.758 0.839
5.511 4.484 3.029
0.138 0.408 5.968
2.127 1.731 1.169
-0.629 3.083 3.404
1.142 4.229 -1.515
-4.447 -0.024 1.305
2.676 -1.122 3.614
0.000 0.000 0.000
-3.305 4.204 -0.211
-1.771 -1.146 4.919
3.819 3.107 2.099

Fe4Co | Alexandria via LeMat-Bulk | PBE-GGA | optimized geometry; excess energy over the best structure of this formula in the dataset = 0.0 meV/atom; E_tot = -8.226 eV per atom; energy of formation from the pure elements = -0.03 eV/atom; space-group type = I4/mmm
1.0
-5.128 -2.131 -4.939
-2.884 -5.394 -4.221
2.773 3.245 6.084
Co Fe
1 4
Cartesian
0.000 0.000 0.000
-3.213 -3.018 -3.674
-6.406 -6.016 -7.324
-1.606 -1.508 -1.836
-4.798 -4.506 -5.486

PmPu5Te8 | Alexandria via LeMat-Bulk | PBE-GGA | optimized geometry; E_form (uncorrected) = -1.121 eV per atom; E_tot = -8.374 eV per atom; space-group type = P1
1.0
-3.263 -7.224 -1.969
2.491 -0.173 7.733
-5.588 5.859 -0.904
Pm Pu Te
1 5 8
Cartesian
-3.756 2.499 2.699
0.228 0.663 2.791
-2.075 -5.002 4.826
-4.384 -1.852 2.775
-4.421 -0.683 -1.431
-6.499 3.121 -0.682
1.317 -0.883 5.541
-6.985 -2.803 -1.814
-3.999 -3.442 0.064
-5.930 0.537 1.077
-1.315 -2.214 3.496
-4.684 0.440 4.951
-2.367 0.156 1.040
-1.483 2.049 5.084

ScTiW2 | Alexandria via LeMat-Bulk | PBE-GGA | optimized geometry; excess energy over the best structure of this formula in the dataset = 0.0 meV/atom; E_tot = -9.674 eV per atom; energy of formation from the pure elements = 0.36 eV/atom; space-group type = Fm-3m
1.0
0.000 3.242 3.242
3.242 0.000 3.242
3.242 3.242 0.000
Sc W Ti
1 2 1
Cartesian
0.000 0.000 0.000
1.621 1.621 1.621
4.863 4.863 4.863
3.242 3.242 3.242

Ac2SmTl | Alexandria via LeMat-Bulk | PBE-GGA | optimized geometry; excess energy over the best structure of this formula in the dataset = 254.7 meV/atom; E_tot = -3.706 eV per atom; energy of formation from the pure elements = 0.12 eV/atom; space-group type = R-3m
1.0
3.837 0.000 0.000
1.918 3.323 0.000
1.918 1.108 12.973
Ac Tl Sm
2 1 1
Cartesian
1.918 1.108 9.507
5.755 3.323 3.466
0.000 0.000 0.000
3.837 2.215 6.487

Cu2SnTe2 | Alexandria via LeMat-Bulk | PBE-GGA | optimized geometry; E_form (uncorrected) = 0.123 eV per atom; E_tot = -3.572 eV per atom; space-group type = P4/mbm
1.0
-2.422 1.172 7.140
-0.641 -7.534 1.019
3.509 -0.135 1.212
Te Sn Cu
4 2 4
Cartesian
0.893 -4.958 2.556
-0.412 -5.479 6.276
-0.447 -1.539 6.815
0.858 -1.019 3.095
0.000 0.000 0.000
-1.532 -3.181 4.079
-1.495 -6.205 3.635
-2.535 -3.613 6.934
-1.569 -0.158 4.523
-0.529 -2.750 1.224